Material: Tb4Y3Ho4
Method: DFT, PBE
State: optimized geometry

The structure in POSCAR format:
```
Tb4Y3Ho4
1.0
-1.774 5.594 9.069
1.774 -5.594 9.069
1.774 5.594 -9.069
Tb Y Ho
4 3 4
Direct
0.220 0.220 0.000
0.293 0.500 0.793
0.707 0.500 0.207
0.780 0.780 0.000
0.000 0.000 0.000
0.391 0.891 0.500
0.609 0.109 0.500
0.070 0.330 0.741
0.411 0.670 0.741
0.589 0.330 0.259
0.930 0.670 0.259
```

Computed properties:
Formation energy   175 meV per atom

=====

Material: BaH5O4
Method: DFT, PBE
State: optimized geometry

The structure in POSCAR format:
```
BaH5O4
1.0
5.483 0.000 0.000
0.000 6.188 0.000
0.000 0.000 6.068
Ba H O
2 10 8
Direct
0.250 0.250 0.202
0.750 0.750 0.798
0.110 0.087 0.687
0.110 0.413 0.687
0.250 0.750 0.200
0.390 0.087 0.687
0.390 0.413 0.687
0.610 0.587 0.313
0.610 0.913 0.313
0.750 0.250 0.800
0.890 0.587 0.313
0.890 0.913 0.313
0.042 0.750 0.153
0.250 0.013 0.608
0.250 0.487 0.608
0.458 0.750 0.153
0.542 0.250 0.847
0.750 0.513 0.392
0.750 0.987 0.392
0.958 0.250 0.847
```

Computed properties:
DFT total energy   -0.1850 Ha/atom

=====

Material: BaMgH6Pd2
Method: DFT, PBE
State: optimized geometry

The structure in POSCAR format:
```
BaMgH6Pd2
1.0
2.415 1.394 5.867
-2.415 1.394 5.867
0.000 -2.788 5.867
Ba Mg H Pd
1 1 6 2
Direct
0.000 0.000 0.000
0.500 0.500 0.500
0.083 0.578 0.578
0.422 0.422 0.917
0.422 0.917 0.422
0.578 0.083 0.578
0.578 0.578 0.083
0.917 0.422 0.422
0.204 0.204 0.204
0.796 0.796 0.796
```

Computed properties:
DFT total energy   -0.1354 Ha/atom

=====

The total moment results, record by record, are as follows: 0.088; 2.006; 0.000 Bohr magnetons per cell.